# Pr10Nd4Ho

Pr10Nd4Ho after structural relaxation (GGA-PBE, Alexandria via LeMat-Bulk).

```
data_Pr10Nd4Ho
_chemical_formula_sum 'Pr20 Nd8 Ho2'
_space_group_name_H-M_alt 'I 4/m m m'
_space_group_IT_number 139
_space_group_name_Hall '-I 4 2'
_cell_length_a 11.683
_cell_length_b 11.683
_cell_length_c 8.020
_cell_angle_alpha 90.00
_cell_angle_beta 90.00
_cell_angle_gamma 90.00
loop_
_atom_site_label
_atom_site_type_symbol
_atom_site_fract_x
_atom_site_fract_y
_atom_site_fract_z
Pr1 Pr 0.000 0.212 0.211
Pr2 Pr 0.000 0.500 0.250
Nd1 Nd 0.228 0.228 0.500
Ho1 Ho 0.000 0.000 0.500
```

Computed properties:
The value obtained for the uncorrected energy is -136.49 eV per cell.

---

# PaMo2Os

PaMo2Os after structural relaxation (GGA-PBE, Alexandria via LeMat-Bulk).

```
data_PaMo2Os
_chemical_formula_sum 'Pa3 Mo6 Os3'
_space_group_name_H-M_alt 'R -3 m'
_space_group_IT_number 166
_space_group_name_Hall '-R 3 2"'
_cell_length_a 4.5511
_cell_length_b 4.5511
_cell_length_c 11.6937
_cell_angle_alpha 90.00
_cell_angle_beta 90.00
_cell_angle_gamma 120.00
loop_
_atom_site_label
_atom_site_type_symbol
_atom_site_fract_x
_atom_site_fract_y
_atom_site_fract_z
Pa1 Pa 0.0000 0.0000 0.0000
Mo1 Mo 0.0000 0.0000 0.2562
Os1 Os 0.0000 0.0000 0.5000
```

Computed properties:
The value obtained for the uncorrected energy is -124.61 eV per cell. The relative energy among the computed polymorphs is 56 meV/atom.

---

# Ac3Y3Tm2

Ac3Y3Tm2 after structural relaxation (GGA-PBE, Alexandria via LeMat-Bulk).

```
data_Ac3Y3Tm2
_chemical_formula_sum 'Ac6 Y6 Tm4'
_space_group_name_H-M_alt 'P 63/m c m'
_space_group_IT_number 193
_space_group_name_Hall '-P 6c 2'
_cell_length_a 10.0562
_cell_length_b 10.0562
_cell_length_c 6.7855
_cell_angle_alpha 90.00
_cell_angle_beta 90.00
_cell_angle_gamma 120.00
loop_
_atom_site_label
_atom_site_type_symbol
_atom_site_fract_x
_atom_site_fract_y
_atom_site_fract_z
Ac1 Ac 0.0000 0.2322 0.2500
Y1 Y 0.0000 0.4177 0.7500
Tm1 Tm 0.3333 0.6667 0.0000
```

Computed properties:
The value obtained for the uncorrected energy is -78.31 eV per cell.

---

# LaZr2Au

LaZr2Au after structural relaxation (GGA-PBE, Alexandria via LeMat-Bulk).

```
data_LaZr2Au
_chemical_formula_sum 'La3 Zr6 Au3'
_space_group_name_H-M_alt 'R -3 m'
_space_group_IT_number 166
_space_group_name_Hall '-R 3 2"'
_cell_length_a 3.3948
_cell_length_b 3.3948
_cell_length_c 29.5089
_cell_angle_alpha 90.00
_cell_angle_beta 90.00
_cell_angle_gamma 120.00
loop_
_atom_site_label
_atom_site_type_symbol
_atom_site_fract_x
_atom_site_fract_y
_atom_site_fract_z
La1 La 0.0000 0.0000 0.0000
Zr1 Zr 0.0000 0.0000 0.2406
Au1 Au 0.0000 0.0000 0.5000
```

Computed properties:
The value obtained for the uncorrected energy is -76.01 eV per cell. The relative energy among the computed polymorphs is 276 meV/atom.

---

# KHfAu3

KHfAu3 after structural relaxation (GGA-PBE, Alexandria via LeMat-Bulk).

```
data_KHfAu3
_chemical_formula_sum 'K1 Hf1 Au3'
_space_group_name_H-M_alt 'P m -3 m'
_space_group_IT_number 221
_space_group_name_Hall '-P 4 2 3'
_cell_length_a 5.337
_cell_length_b 5.337
_cell_length_c 5.337
_cell_angle_alpha 90.00
_cell_angle_beta 90.00
_cell_angle_gamma 90.00
loop_
_atom_site_label
_atom_site_type_symbol
_atom_site_fract_x
_atom_site_fract_y
_atom_site_fract_z
K1 K 0.000 0.000 0.000
Hf1 Hf 0.500 0.500 0.500
Au1 Au 0.000 0.500 0.500
```

Computed properties:
The value obtained for the uncorrected energy is -20.63 eV per cell. The relative energy among the computed polymorphs is 0 meV/atom.

---

# KCuHg2

KCuHg2 after structural relaxation (GGA-PBE, Alexandria via LeMat-Bulk).

```
data_KCuHg2
_chemical_formula_sum 'K4 Cu4 Hg8'
_space_group_name_H-M_alt 'C m m 2'
_space_group_IT_number 35
_cell_length_a 4.900
_cell_length_b 19.263
_cell_length_c 4.883
_cell_angle_alpha 90.00
_cell_angle_beta 90.00
_cell_angle_gamma 90.00
loop_
_space_group_symop_operation_xyz
'x,y,z'
'-x,-y,z'
'-x,y,z'
'x,-y,z'
'x+1/2,y+1/2,z'
'-x+1/2,-y+1/2,z'
'-x+1/2,y+1/2,z'
'x+1/2,-y+1/2,z'
loop_
_atom_site_label
_atom_site_type_symbol
_atom_site_fract_x
_atom_site_fract_y
_atom_site_fract_z
K1 K 0.000 0.143 0.000
Cu1 Cu 0.000 0.436 0.495
Hg1 Hg 0.000 0.000 0.500
Hg2 Hg 0.000 0.298 0.500
Hg3 Hg 0.000 0.500 0.996
```

Computed properties:
The value obtained for the uncorrected energy is -24.44 eV per cell. The relative energy among the computed polymorphs is 0 meV/atom.